1.
DFT (PBE) results for a relaxed structure of AlAg3Mo.

```
AlAg3Mo
1.0
4.647 0.000 0.000
0.000 4.647 0.000
0.000 0.000 4.647
Al Ag Mo
1 3 1
direct
0.000 0.000 0.000
0.000 0.000 0.500
0.000 0.500 0.000
0.500 0.000 0.000
0.500 0.500 0.500
```

2.
DFT (PBE) results for a relaxed structure of PrIn2Au.

```
PrIn2Au
1.0
5.409 0.000 0.000
0.000 4.862 0.000
-0.855 0.000 8.106
Pr In Au
2 4 2
direct
0.037 0.250 0.199
0.963 0.750 0.801
0.332 0.750 0.455
0.484 0.750 0.095
0.516 0.250 0.905
0.668 0.250 0.545
0.178 0.250 0.619
0.822 0.750 0.381
```

3.
DFT (PBE) results for a relaxed structure of TcSbPdF2.

```
TcSbPdF2
1.0
4.160 0.000 0.000
0.000 4.160 0.000
0.000 0.000 5.688
Tc Sb Pd F
1 1 1 2
direct
0.000 0.000 0.000
0.000 0.000 0.500
0.500 0.500 0.000
0.000 0.500 0.500
0.500 0.000 0.500
```

4.
DFT (PBE) results for a relaxed structure of Y8CuRh2.

```
Y8CuRh2
1.0
4.201 -6.236 0.000
4.201 6.236 0.000
-1.811 0.000 5.783
Y Cu Rh
8 1 2
direct
0.000 0.000 0.000
0.020 0.286 0.571
0.137 0.577 0.184
0.286 0.020 0.571
0.438 0.702 0.786
0.577 0.137 0.184
0.702 0.438 0.786
0.725 0.725 0.372
0.362 0.362 0.365
0.049 0.678 0.685
0.678 0.049 0.685
```

5.
DFT (PBE) results for a relaxed structure of TiSbTeI2.

```
TiSbTeI2
1.0
5.823 0.000 0.000
0.000 5.823 0.000
0.000 0.000 6.012
Ti Sb Te I
1 1 1 2
direct
0.000 0.000 0.000
0.500 0.500 0.000
0.500 0.500 0.500
0.000 0.500 0.500
0.500 0.000 0.500
```

6.
DFT (PBE) results for a relaxed structure of Tb4Pr5Y4.

```
Tb4Pr5Y4
1.0
-6.541 6.541 2.559
6.541 -6.541 2.559
6.541 6.541 -2.559
Tb Pr Y
4 5 4
direct
0.155 0.767 0.922
0.233 0.155 0.388
0.767 0.845 0.612
0.845 0.233 0.078
0.000 0.000 0.000
0.306 0.539 0.845
0.461 0.306 0.766
0.539 0.694 0.234
0.694 0.461 0.155
0.076 0.386 0.462
0.386 0.924 0.309
0.614 0.076 0.691
0.924 0.614 0.538
```

7.
DFT (PBE) results for a relaxed structure of Nd4AlPd2.

```
Nd4AlPd2
1.0
2.536 1.464 8.870
-2.536 1.464 8.870
0.000 -2.929 8.870
Nd Al Pd
4 1 2
direct
0.122 0.122 0.122
0.292 0.292 0.292
0.708 0.708 0.708
0.878 0.878 0.878
0.500 0.500 0.500
0.404 0.404 0.404
0.596 0.596 0.596
```

8.
DFT (PBE) results for a relaxed structure of BiIrS2.

```
BiIrS2
1.0
-3.041 3.041 5.333
3.041 -3.041 5.333
3.041 3.041 -5.333
Bi Ir S
2 2 4
direct
0.000 0.000 0.000
0.750 0.250 0.500
0.250 0.750 0.500
0.500 0.500 0.000
0.202 0.625 0.077
0.375 0.452 0.577
0.548 0.125 0.923
0.875 0.798 0.423
```

9.
DFT (PBE) results for a relaxed structure of CsKZnH4.

```
CsKZnH4
1.0
2.743 -5.122 0.000
2.743 5.122 0.000
0.000 0.000 10.341
Cs K Zn H
2 2 2 8
direct
0.000 0.000 0.000
0.000 0.000 0.500
0.295 0.705 0.750
0.705 0.295 0.250
0.373 0.627 0.250
0.627 0.373 0.750
0.226 0.289 0.250
0.281 0.719 0.117
0.281 0.719 0.383
0.289 0.226 0.750
0.711 0.774 0.250
0.719 0.281 0.617
0.719 0.281 0.883
0.774 0.711 0.750
```

10.
DFT (PBE) results for a relaxed structure of Ho2Hg2C.

```
Ho2Hg2C
1.0
1.797 1.038 9.982
-1.797 1.038 9.982
0.000 -2.075 9.982
Ho Hg C
2 2 1
direct
0.122 0.122 0.122
0.878 0.878 0.878
0.372 0.372 0.372
0.628 0.628 0.628
0.500 0.500 0.500
```

11.
DFT (PBE) results for a relaxed structure of Th4Ga16Rh3.

```
Th4Ga16Rh3
1.0
6.279 0.000 0.000
0.000 6.279 0.000
0.000 0.000 11.358
Th Ga Rh
4 16 3
direct
0.000 0.500 0.194
0.000 0.500 0.806
0.500 0.000 0.194
0.500 0.000 0.806
0.000 0.000 0.201
0.000 0.000 0.799
0.211 0.211 0.000
0.211 0.789 0.000
0.249 0.249 0.383
0.249 0.249 0.617
0.249 0.751 0.383
0.249 0.751 0.617
0.500 0.500 0.229
0.500 0.500 0.771
0.751 0.249 0.383
0.751 0.249 0.617
0.751 0.751 0.383
0.751 0.751 0.617
0.789 0.211 0.000
0.789 0.789 0.000
0.000 0.500 0.500
0.500 0.000 0.500
0.500 0.500 0.000
```

12.
DFT (PBE) results for a relaxed structure of AlRe2Mo.

```
AlRe2Mo
1.0
3.128 0.000 0.000
0.000 3.128 0.000
0.000 0.000 6.098
Al Re Mo
1 2 1
direct
0.000 0.000 0.000
0.500 0.500 0.248
0.500 0.500 0.752
0.000 0.000 0.500
```

13.
DFT (PBE) results for a relaxed structure of Re2Sn2Pt.

```
Re2Sn2Pt
1.0
6.808 0.000 0.000
0.000 6.808 0.000
0.000 0.000 4.098
Re Sn Pt
4 4 2
direct
0.126 0.374 0.000
0.374 0.874 0.000
0.626 0.126 0.000
0.874 0.626 0.000
0.174 0.674 0.500
0.326 0.174 0.500
0.674 0.826 0.500
0.826 0.326 0.500
0.000 0.000 0.000
0.500 0.500 0.000
```

Calculated values (eV per atom) of total energy for the records, taken in order: -3.422; -3.819; -4.960; -6.683; -2.636; -5.234; -5.199; -5.132; -2.592; -4.158; -4.961; -9.940; -7.395.